Record 1
A relaxed Nd3Zn2Ir7 crystal, computed with PBE-GGA.

- Symmetry: R-3m, No. 166

abc: 9.007 9.007 9.007
angles: 35.42 35.42 35.42
Fractional positions:
Nd (0.000, 0.000, 0.000)
Nd (0.141, 0.141, 0.141)
Nd (0.859, 0.859, 0.859)
Zn (0.335, 0.335, 0.335)
Zn (0.665, 0.665, 0.665)
Ir (0.077, 0.585, 0.585)
Ir (0.415, 0.415, 0.923)
Ir (0.415, 0.923, 0.415)
Ir (0.500, 0.500, 0.500)
Ir (0.585, 0.077, 0.585)
Ir (0.585, 0.585, 0.077)
Ir (0.923, 0.415, 0.415)

=====

Record 2
A relaxed Nd12Zn6Ir crystal, computed with PBE-GGA.

- Symmetry: R-3, No. 148

abc: 8.279 8.279 8.279
angles: 93.61 93.61 93.61
Fractional positions:
Nd (0.045, 0.932, 0.696)
Nd (0.068, 0.304, 0.955)
Nd (0.176, 0.411, 0.535)
Nd (0.304, 0.955, 0.068)
Nd (0.411, 0.535, 0.176)
Nd (0.465, 0.824, 0.589)
Nd (0.535, 0.176, 0.411)
Nd (0.589, 0.465, 0.824)
Nd (0.696, 0.045, 0.932)
Nd (0.824, 0.589, 0.465)
Nd (0.932, 0.696, 0.045)
Nd (0.955, 0.068, 0.304)
Zn (0.157, 0.762, 0.354)
Zn (0.238, 0.646, 0.843)
Zn (0.354, 0.157, 0.762)
Zn (0.646, 0.843, 0.238)
Zn (0.762, 0.354, 0.157)
Zn (0.843, 0.238, 0.646)
Ir (0.500, 0.500, 0.500)

=====

Record 3
A relaxed Nd7Zn2Ir2 crystal, computed with PBE-GGA.

- Symmetry: Cmmm, No. 65

abc: 6.895 6.895 7.263
angles: 90.00 90.00 107.94
Fractional positions:
Nd (0.000, 0.000, 0.000)
Nd (0.000, 0.500, 0.260)
Nd (0.000, 0.500, 0.740)
Nd (0.500, 0.000, 0.260)
Nd (0.500, 0.000, 0.740)
Nd (0.500, 0.500, 0.254)
Nd (0.500, 0.500, 0.746)
Zn (0.163, 0.163, 0.500)
Zn (0.837, 0.837, 0.500)
Ir (0.291, 0.709, 0.000)
Ir (0.709, 0.291, 0.000)

=====

Record 4
A relaxed Nd2Zn3Ir2 crystal, computed with PBE-GGA.

- Symmetry: C2/m, No. 12

abc: 5.485 5.485 7.226
angles: 111.64 111.64 44.79
Fractional positions:
Nd (0.145, 0.145, 0.270)
Nd (0.855, 0.855, 0.730)
Zn (0.356, 0.356, 0.059)
Zn (0.500, 0.500, 0.500)
Zn (0.644, 0.644, 0.941)
Ir (0.137, 0.137, 0.695)
Ir (0.863, 0.863, 0.305)

=====

Record 5
A relaxed Nd2ZnIr3 crystal, computed with PBE-GGA.

- Symmetry: R-3m, No. 166

abc: 5.291 5.291 5.291
angles: 63.91 63.91 63.91
Fractional positions:
Nd (0.126, 0.126, 0.126)
Nd (0.874, 0.874, 0.874)
Zn (0.500, 0.500, 0.500)
Ir (0.000, 0.500, 0.500)
Ir (0.500, 0.000, 0.500)
Ir (0.500, 0.500, 0.000)

=====

Record 6
A relaxed Nd3Zn3Ir2 crystal, computed with PBE-GGA.

- Symmetry: Cmcm, No. 63

abc: 5.671 5.671 16.064
angles: 90.00 90.00 136.77
Fractional positions:
Nd (0.072, 0.928, 0.604)
Nd (0.072, 0.928, 0.896)
Nd (0.347, 0.653, 0.750)
Nd (0.653, 0.347, 0.250)
Nd (0.928, 0.072, 0.104)
Nd (0.928, 0.072, 0.396)
Zn (0.355, 0.645, 0.533)
Zn (0.355, 0.645, 0.967)
Zn (0.360, 0.640, 0.250)
Zn (0.640, 0.360, 0.750)
Zn (0.645, 0.355, 0.033)
Zn (0.645, 0.355, 0.467)
Ir (0.221, 0.779, 0.115)
Ir (0.221, 0.779, 0.385)
Ir (0.779, 0.221, 0.615)
Ir (0.779, 0.221, 0.885)

=====

Record 7
A relaxed NdZnIr4 crystal, computed with PBE-GGA.

- Symmetry: F-43m, No. 216

abc: 5.319 5.319 5.319
angles: 60.00 60.00 60.00
Fractional positions:
Nd (0.000, 0.000, 0.000)
Zn (0.750, 0.750, 0.750)
Ir (0.376, 0.376, 0.376)
Ir (0.376, 0.376, 0.873)
Ir (0.376, 0.873, 0.376)
Ir (0.873, 0.376, 0.376)

=====

Record 8
A relaxed Nd2Zn2Ir crystal, computed with PBE-GGA.

- Symmetry: C2/m, No. 12
- Energy above the lowest structure with this stoichiometry: 0.00 eV/f.u.

abc: 5.792 5.792 11.257
angles: 109.94 109.94 40.98
Fractional positions:
Nd (0.005, 0.005, 0.339)
Nd (0.195, 0.195, 0.125)
Nd (0.805, 0.805, 0.875)
Nd (0.995, 0.995, 0.661)
Zn (0.328, 0.328, 0.450)
Zn (0.478, 0.478, 0.109)
Zn (0.522, 0.522, 0.891)
Zn (0.672, 0.672, 0.550)
Ir (0.300, 0.300, 0.686)
Ir (0.700, 0.700, 0.314)

=====

Record 9
A relaxed NdZn2Ir crystal, computed with PBE-GGA.

- Symmetry: Fm-3m, No. 225

abc: 4.696 4.696 4.696
angles: 60.00 60.00 60.00
Fractional positions:
Nd (0.000, 0.000, 0.000)
Zn (0.250, 0.250, 0.250)
Zn (0.750, 0.750, 0.750)
Ir (0.500, 0.500, 0.500)

=====

Record 10
A relaxed Nd4ZnIr crystal, computed with PBE-GGA.

- Symmetry: F-43m, No. 216
- Energy above the lowest structure with this stoichiometry: 0.00 eV/f.u.

abc: 9.843 9.843 9.843
angles: 60.00 60.00 60.00
Fractional positions:
Nd (0.057, 0.057, 0.443)
Nd (0.057, 0.443, 0.057)
Nd (0.057, 0.443, 0.443)
Nd (0.189, 0.189, 0.811)
Nd (0.189, 0.811, 0.189)
Nd (0.189, 0.811, 0.811)
Nd (0.195, 0.602, 0.602)
Nd (0.443, 0.057, 0.057)
Nd (0.443, 0.057, 0.443)
Nd (0.443, 0.443, 0.057)
Nd (0.602, 0.195, 0.602)
Nd (0.602, 0.602, 0.195)
Nd (0.602, 0.602, 0.602)
Nd (0.811, 0.189, 0.189)
Nd (0.811, 0.189, 0.811)
Nd (0.811, 0.811, 0.189)
Zn (0.516, 0.828, 0.828)
Zn (0.828, 0.516, 0.828)
Zn (0.828, 0.828, 0.516)
Zn (0.828, 0.828, 0.828)
Ir (0.392, 0.392, 0.392)
Ir (0.392, 0.392, 0.824)
Ir (0.392, 0.824, 0.392)
Ir (0.824, 0.392, 0.392)

=====

Record 11
A relaxed Nd2Zn5Ir5 crystal, computed with PBE-GGA.

- Symmetry: Pmmm, No. 47

abc: 4.092 5.583 9.196
angles: 90.00 90.00 90.00
Fractional positions:
Nd (0.000, 0.000, 0.000)
Nd (0.000, 0.500, 0.500)
Zn (0.000, 0.000, 0.330)
Zn (0.000, 0.000, 0.670)
Zn (0.000, 0.500, 0.169)
Zn (0.000, 0.500, 0.831)
Zn (0.500, 0.000, 0.500)
Ir (0.500, 0.245, 0.250)
Ir (0.500, 0.245, 0.750)
Ir (0.500, 0.500, 0.000)
Ir (0.500, 0.755, 0.250)
Ir (0.500, 0.755, 0.750)

=====

Record 12
A relaxed NdZnIr crystal, computed with PBE-GGA.

- Symmetry: I4mm, No. 107

abc: 5.743 5.743 5.743
angles: 145.40 145.40 49.74
Fractional positions:
Nd (0.000, 0.000, 0.000)
Zn (0.289, 0.289, 0.000)
Ir (0.676, 0.676, 0.000)

=====

The records above yield DFT formation energy values of -0.60; -0.14; -0.29; -0.53; -0.62; -0.52; -0.27; -0.49; -0.26; -0.40; -0.44; -0.33 eV/atom, respectively.
The records above yield VASP energy values of -86.036; -76.350; -56.840; -34.775; -41.095; -79.963; -43.094; -46.746; -17.232; -126.316; -65.464; -15.880 eV for the cell shown, respectively.